# RbNiSF2, optimized geometry, DFT PBE+U
# * Fermi-level density of states: 2.5 states/eV/cell
# * uncorrected energy: -3.13 eV per atom
# * total moment: 3.000 μB/f.u.
data_RbNiSF2
_chemical_formula_sum 'Rb1 Ni1 S1 F2'
_symmetry_space_group_name_H-M 'P 1'
_symmetry_Int_Tables_number 1
_cell_length_a 4.068
_cell_length_b 7.592
_cell_length_c 4.068
_cell_angle_alpha 90.00
_cell_angle_beta 90.00
_cell_angle_gamma 90.00
loop_
_symmetry_equiv_pos_as_xyz
'x,y,z'
loop_
_atom_site_label
_atom_site_fract_x
_atom_site_fract_y
_atom_site_fract_z
S1 0.500 0.500 0.500
F1 0.500 0.000 0.000
F2 0.000 0.000 0.500
Ni1 0.000 0.000 0.000
Rb1 0.000 0.500 0.000